A relaxed structure of Tb3Er2Tl. Source: Alexandria, functional PBE.

Output
- mass density (Mg/m³) = 9.5
- E_form (kJ/mol of formula units) = -64
- magnetic moment (μB per cell) = 0.0

Lattice parameters (Å, degrees): 4.874 15.085 4.844 90.00 90.00 90.00
Space group Cmmm (No. 65)
Asymmetric unit:
Tb  0.000  0.000  0.000 [2 per cell]
Tb  0.000  0.330  0.000 [4 per cell]
Er  0.000  0.163  0.500 [4 per cell]
Tl  0.000  0.500  0.500 [2 per cell]


A relaxed structure of Tb5ErTl2. Source: Alexandria, functional PBE.

Output
- mass density (Mg/m³) = 9.5
- E_form (kJ/mol of formula units) = -79
- magnetic moment (μB per cell) = 0.0

Lattice parameters (Å, degrees): 3.590 10.581 12.682 90.00 90.00 90.00
Space group Immm (No. 71)
Asymmetric unit:
Tb  0.000  0.000  0.000 [2 per cell]
Tb  0.000  0.271  0.367 [8 per cell]
Er  0.000  0.500  0.000 [2 per cell]
Tl  0.000  0.000  0.263 [4 per cell]


A relaxed structure of Tb2Er3Tl. Source: Alexandria, functional PBE.

Output
- mass density (Mg/m³) = 8.8
- E_form (kJ/mol of formula units) = 174
- magnetic moment (μB per cell) = 0.3

Lattice parameters (Å, degrees): 3.386 9.908 11.494 90.00 90.00 90.00
Space group Imm2 (No. 44)
Asymmetric unit:
Tb  0.000  0.171  0.000 [4 per cell]
Er  0.000  0.000  0.280 [2 per cell]
Er  0.000  0.339  0.249 [4 per cell]
Tl  0.000  0.500  0.015 [2 per cell]


A relaxed structure of Tb2Er8Tl. Source: Alexandria, functional PBE.

Output
- mass density (Mg/m³) = 9.2
- E_form (kJ/mol of formula units) = -30
- magnetic moment (μB per cell) = 0.0

Lattice parameters (Å, degrees): 19.252 5.503 6.369 90.00 95.34 90.00
Space group C2/m (No. 12)
Asymmetric unit:
Tb  0.244  0.000  0.334 [4 per cell]
Er  0.045  0.000  0.270 [4 per cell]
Er  0.079  0.500  0.598 [4 per cell]
Er  0.154  0.000  0.804 [4 per cell]
Er  0.162  0.500  0.123 [4 per cell]
Tl  0.000  0.500  0.000 [2 per cell]


A relaxed structure of TbEr4Tl5. Source: Alexandria, functional PBE.

Output
- mass density (Mg/m³) = 11.4
- E_form (kJ/mol of formula units) = -309
- magnetic moment (μB per cell) = 0.0

Lattice parameters (Å, degrees): 3.735 3.735 19.312 90.00 90.00 90.00
Space group P4/mmm (No. 123)
Asymmetric unit:
Tb  0.000  0.000  0.000 [1 per cell]
Er  0.000  0.000  0.202 [2 per cell]
Er  0.000  0.000  0.401 [2 per cell]
Tl  0.500  0.500  0.103 [2 per cell]
Tl  0.500  0.500  0.301 [2 per cell]
Tl  0.500  0.500  0.500 [1 per cell]


A relaxed structure of Tb3Er4Tl. Source: Alexandria, functional PBE.

Output
- mass density (Mg/m³) = 9.4
- E_form (kJ/mol of formula units) = -58
- magnetic moment (μB per cell) = 0.0

Lattice parameters (Å, degrees): 11.153 6.993 6.149 90.00 90.00 90.00
Space group Pmn2_1 (No. 31)
Asymmetric unit:
Tb  0.000  0.130  0.000 [2 per cell]
Tb  0.240  0.116  0.344 [4 per cell]
Er  0.000  0.377  0.536 [2 per cell]
Er  0.000  0.629  0.012 [2 per cell]
Er  0.240  0.624  0.361 [4 per cell]
Tl  0.000  0.870  0.522 [2 per cell]


A relaxed structure of TbEr5Tl8. Source: Alexandria, functional PBE.

Output
- mass density (Mg/m³) = 11.1
- E_form (kJ/mol of formula units) = -280
- magnetic moment (μB per cell) = 0.0

Lattice parameters (Å, degrees): 9.204 9.204 9.282 90.00 90.00 90.00
Space group I-4 (No. 82)
Asymmetric unit:
Tb  0.000  0.000  0.000 [2 per cell]
Er  0.000  0.500  0.750 [2 per cell]
Er  0.127  0.253  0.372 [8 per cell]
Tl  0.081  0.167  0.702 [8 per cell]
Tl  0.084  0.334  0.042 [8 per cell]


A relaxed structure of Tb3Er2Tl6. Source: Alexandria, functional PBE.

Output
- mass density (Mg/m³) = 10.3
- E_form (kJ/mol of formula units) = -42
- magnetic moment (μB per cell) = 0.0

Lattice parameters (Å, degrees): 4.734 4.734 29.410 90.00 90.00 90.00
Space group I4/mmm (No. 139)
Asymmetric unit:
Tb  0.000  0.000  0.000 [2 per cell]
Tb  0.000  0.000  0.200 [4 per cell]
Er  0.000  0.000  0.447 [4 per cell]
Tl  0.000  0.000  0.304 [4 per cell]
Tl  0.000  0.500  0.119 [8 per cell]


A relaxed structure of Tb12Er6Tl. Source: Alexandria, functional PBE.

Output
- mass density (Mg/m³) = 8.6
- E_form (kJ/mol of formula units) = 163
- magnetic moment (μB per cell) = 0.0

Lattice parameters (Å, degrees): 11.8173 11.8173 14.9444 90.00 90.00 120.00
Space group R-3 (No. 148, hexagonal axes)
Asymmetric unit:
Tb  0.0045  0.8269  0.3138 [18 per cell]
Tb  0.0454  0.1970  0.9155 [18 per cell]
Er  0.0203  0.5905  0.1882 [18 per cell]
Tl  0.0000  0.0000  0.5000 [3 per cell]


A relaxed structure of TbEr5Tl4. Source: Alexandria, functional PBE.

Output
- mass density (Mg/m³) = 10.8
- E_form (kJ/mol of formula units) = -249
- magnetic moment (μB per cell) = 0.1

Lattice parameters (Å, degrees): 3.596 3.596 21.529 90.00 90.00 90.00
Space group P4/mmm (No. 123)
Asymmetric unit:
Tb  0.000  0.000  0.000 [1 per cell]
Er  0.500  0.500  0.114 [2 per cell]
Er  0.500  0.500  0.306 [2 per cell]
Er  0.500  0.500  0.500 [1 per cell]
Tl  0.000  0.000  0.211 [2 per cell]
Tl  0.000  0.000  0.404 [2 per cell]


A relaxed structure of TbEr6Tl5. Source: Alexandria, functional PBE.

Output
- mass density (Mg/m³) = 11.0
- E_form (kJ/mol of formula units) = -295
- magnetic moment (μB per cell) = 0.7

Lattice parameters (Å, degrees): 4.982 8.744 15.124 90.00 90.00 90.00
Space group Immm (No. 71)
Asymmetric unit:
Tb  0.000  0.000  0.000 [2 per cell]
Er  0.000  0.225  0.500 [4 per cell]
Er  0.000  0.264  0.170 [8 per cell]
Tl  0.000  0.000  0.319 [4 per cell]
Tl  0.000  0.500  0.000 [2 per cell]
Tl  0.000  0.500  0.353 [4 per cell]


A relaxed structure of Tb5ErTl6. Source: Alexandria, functional PBE.

Output
- mass density (Mg/m³) = 11.0
- E_form (kJ/mol of formula units) = -402
- magnetic moment (μB per cell) = 0.0

Lattice parameters (Å, degrees): 5.404 7.507 8.550 90.00 108.29 90.00
Space group P2/m (No. 10)
Asymmetric unit:
Tb  0.000  0.000  0.000 [1 per cell]
Tb  0.332  0.000  0.665 [2 per cell]
Tb  0.333  0.500  0.667 [2 per cell]
Er  0.000  0.500  0.000 [1 per cell]
Tl  0.166  0.251  0.331 [4 per cell]
Tl  0.500  0.251  0.000 [2 per cell]


A relaxed structure of TbEr8Tl6. Source: Alexandria, functional PBE.

Output
- mass density (Mg/m³) = 9.9
- E_form (kJ/mol of formula units) = -173
- magnetic moment (μB per cell) = 0.0

Lattice parameters (Å, degrees): 9.0204 9.0204 19.4843 90.00 90.00 120.00
Space group R-3 (No. 148, hexagonal axes)
Asymmetric unit:
Tb  0.0000  0.0000  0.0000 [3 per cell]
Er  0.0000  0.0000  0.3332 [6 per cell]
Er  0.0001  0.3333  0.1095 [18 per cell]
Tl  0.9998  0.3349  0.9350 [18 per cell]


A relaxed structure of TbErTl. Source: Alexandria, functional PBE.

Output
- mass density (Mg/m³) = 10.1
- E_form (kJ/mol of formula units) = -40
- magnetic moment (μB per cell) = 0.0

Lattice parameters (Å, degrees): 5.2434 5.2434 3.6813 90.00 90.00 120.00
Space group P3m1 (No. 156)
Asymmetric unit:
Tb  0.0000  0.0000  0.0000 [1 per cell]
Er  0.3333  0.6667  0.5324 [1 per cell]
Tl  0.6667  0.3333  0.3603 [1 per cell]


A relaxed structure of Tb3Er2Tl2. Source: Alexandria, functional PBE.

Output
- mass density (Mg/m³) = 10.0
- E_form (kJ/mol of formula units) = -131
- magnetic moment (μB per cell) = 0.0

Lattice parameters (Å, degrees): 9.346 5.402 8.603 90.00 111.32 90.00
Space group C2/m (No. 12)
Asymmetric unit:
Tb  0.000  0.000  0.000 [2 per cell]
Tb  0.155  0.000  0.465 [4 per cell]
Er  0.074  0.500  0.722 [4 per cell]
Tl  0.216  0.500  0.147 [4 per cell]


A relaxed structure of Tb3Er3Tl. Source: Alexandria, functional PBE.

Output
- mass density (Mg/m³) = 9.0
- E_form (kJ/mol of formula units) = 19
- magnetic moment (μB per cell) = 0.0

Lattice parameters (Å, degrees): 13.096 5.179 12.846 90.00 90.00 90.00
Space group Pnma (No. 62)
Asymmetric unit:
Tb  0.010  0.250  0.066 [4 per cell]
Tb  0.055  0.250  0.568 [4 per cell]
Tb  0.227  0.750  0.448 [4 per cell]
Er  0.087  0.250  0.308 [4 per cell]
Er  0.173  0.750  0.726 [4 per cell]
Er  0.184  0.750  0.134 [4 per cell]
Tl  0.057  0.250  0.811 [4 per cell]


A relaxed structure of TbEr5Tl5. Source: Alexandria, functional PBE.

Output
- mass density (Mg/m³) = 10.2
- E_form (kJ/mol of formula units) = -86
- magnetic moment (μB per cell) = 0.0

Lattice parameters (Å, degrees): 16.010 5.865 7.084 90.00 99.24 90.00
Space group C2/m (No. 12)
Asymmetric unit:
Tb  0.000  0.000  0.000 [2 per cell]
Er  0.000  0.000  0.500 [2 per cell]
Er  0.133  0.500  0.404 [4 per cell]
Er  0.176  0.500  0.914 [4 per cell]
Tl  0.000  0.500  0.000 [2 per cell]
Tl  0.171  0.000  0.283 [4 per cell]
Tl  0.176  0.000  0.733 [4 per cell]


A relaxed structure of Tb2Er5Tl. Source: Alexandria, functional PBE.

Output
- mass density (Mg/m³) = 9.5
- E_form (kJ/mol of formula units) = -40
- magnetic moment (μB per cell) = 0.0

Lattice parameters (Å, degrees): 6.936 13.938 4.923 90.00 90.00 90.00
Space group Pbam (No. 55)
Asymmetric unit:
Tb  0.245  0.127  0.000 [4 per cell]
Er  0.000  0.000  0.500 [2 per cell]
Er  0.002  0.256  0.500 [4 per cell]
Er  0.244  0.875  0.000 [4 per cell]
Tl  0.000  0.500  0.500 [2 per cell]


A relaxed structure of Tb3Er2Tl3. Source: Alexandria, functional PBE.

Output
- mass density (Mg/m³) = 10.4
- E_form (kJ/mol of formula units) = -210
- magnetic moment (μB per cell) = 0.0

Lattice parameters (Å, degrees): 3.765 5.375 22.571 90.00 90.00 90.00
Space group Immm (No. 71)
Asymmetric unit:
Tb  0.000  0.000  0.000 [2 per cell]
Tb  0.000  0.500  0.126 [4 per cell]
Er  0.000  0.000  0.235 [4 per cell]
Tl  0.000  0.000  0.500 [2 per cell]
Tl  0.000  0.500  0.379 [4 per cell]


A relaxed structure of Tb3Er4Tl2. Source: Alexandria, functional PBE.

Output
- mass density (Mg/m³) = 9.7
- E_form (kJ/mol of formula units) = -136
- magnetic moment (μB per cell) = 0.0

Lattice parameters (Å, degrees): 12.025 5.353 10.181 90.00 125.78 90.00
Space group C2/m (No. 12)
Asymmetric unit:
Tb  0.000  0.000  0.000 [2 per cell]
Tb  0.145  0.500  0.679 [4 per cell]
Er  0.097  0.000  0.428 [4 per cell]
Er  0.232  0.500  0.080 [4 per cell]
Tl  0.089  0.500  0.256 [4 per cell]